This record from the Alexandria database describes Sn2Cl2F after structural relaxation. The functional is PBE.

## Properties
The space-group type is I4/mmm. As for the uncorrected formation energy: -494 kJ/mol of formula units. The value obtained for the total energy is -3.74 eV/atom.

a b c (Å): 5.7258 5.7258 5.7258
angles (deg): 118.18 118.18 93.18
Positions (direct):
Sn (0.2181, 0.2181, 0.0000)
Sn (0.7819, 0.7819, 0.0000)
Cl (0.2500, 0.7500, 0.5000)
Cl (0.7500, 0.2500, 0.5000)
F (0.5000, 0.5000, 0.0000)